! Pr2Pu2Sb2N PBE-GGA optimized geometry; values from VASP
&SYSTEM
  ibrav = 0, nat = 7, ntyp = 4
/
ATOMIC_SPECIES
Pr 140.91 Pr.upf
Pu 244.00 Pu.upf
Sb 121.76 Sb.upf
N 14.01 N.upf
ATOMIC_POSITIONS crystal
Pr 0.168 0.168 0.336
Pr 0.832 0.832 0.664
Pu 0.000 0.500 0.000
Pu 0.500 0.000 0.000
Sb 0.361 0.361 0.722
Sb 0.639 0.639 0.278
N 0.000 0.000 0.000
CELL_PARAMETERS angstrom
4.676 0.000 0.000
0.000 4.676 0.000
-2.338 -2.338 8.473
! * energy relative to the elements, uncorrected: -1009.3 meV/atom